A plane-wave DFT calculation with PBE was carried out for Dy2PuAg3Te6 after structural relaxation.

a = 8.9116 Å, b = 8.9116 Å, c = 10.4208 Å
α = 104.62°, β = 104.62°, γ = 29.08°
Last column: nearest neighbours and their distance in Å.
Element x y z (fractional)
Dy: 0.1615 0.1615 0.3364  6 Te 3.03-3.13
Dy: 0.8385 0.8385 0.6636  6 Te 3.03-3.13
Pu: 0.5000 0.5000 0.0000  6 Te 3.16-3.24
Ag: 0.1721 0.1721 0.9655  4 Te 2.80-2.88
Ag: 0.5000 0.5000 0.5000  2 Te 2.65
Ag: 0.8279 0.8279 0.0345  4 Te 2.80-2.88
Te: 0.0169 0.0169 0.7951  1 Ag 2.80, 1 Dy 3.03
Te: 0.3092 0.3092 0.8559  3 Ag 2.87-2.88, 2 Dy 3.13
Te: 0.3422 0.3422 0.4638  1 Ag 2.65
Te: 0.6578 0.6578 0.5362  1 Ag 2.65
Te: 0.6908 0.6908 0.1441  3 Ag 2.87-2.88, 2 Dy 3.13
Te: 0.9831 0.9831 0.2049  1 Ag 2.80, 1 Dy 3.03

**ΔE_f (raw)**: -0.772 eV per atom
**E**: -60.20 eV for the cell shown